1.
The following is a DFT calculation (GGA-PBE) of MnCr2Os after structural relaxation.

Calculated total energy ... -9.78 eV per atom
Magnetization ... 1.34 Bohr magnetons per cell
Density of states at the Fermi level ... 11.423 states/eV/cell

```
data_MnCr2Os
_cell_length_a 3.660
_cell_length_b 3.660
_cell_length_c 7.416
_cell_angle_alpha 90.00
_cell_angle_beta 90.00
_cell_angle_gamma 90.00
_symmetry_space_group_name_H-M 'I -4 m 2'
_symmetry_Int_Tables_number 119
_symmetry_space_group_name_Hall 'I -4 -2'
loop_
_atom_site_label
_atom_site_type_symbol
_atom_site_fract_x
_atom_site_fract_y
_atom_site_fract_z
Mn1 Mn 0.000 0.000 0.000
Cr1 Cr 0.000 0.000 0.500
Cr2 Cr 0.000 0.500 0.250
Os1 Os 0.000 0.500 0.750
```

***

2.
The following is a DFT calculation (GGA-PBE) of Mn2CrOs after structural relaxation.

Calculated total energy ... -9.74 eV per atom
Magnetization ... 3.90 Bohr magnetons per cell
Density of states at the Fermi level ... 1.802 states/eV/cell

```
data_Mn2CrOs
_cell_length_a 4.159
_cell_length_b 4.159
_cell_length_c 3.044
_cell_angle_alpha 90.00
_cell_angle_beta 90.00
_cell_angle_gamma 90.00
_symmetry_space_group_name_H-M 'P 4/m m m'
_symmetry_Int_Tables_number 123
_symmetry_space_group_name_Hall '-P 4 2'
loop_
_atom_site_label
_atom_site_type_symbol
_atom_site_fract_x
_atom_site_fract_y
_atom_site_fract_z
Mn1 Mn 0.000 0.500 0.000
Cr1 Cr 0.000 0.000 0.500
Os1 Os 0.500 0.500 0.500
```

***

3.
The following is a DFT calculation (GGA-PBE) of Mn2CrOs after structural relaxation.

Calculated total energy ... -9.68 eV per atom
Magnetization ... 7.87 Bohr magnetons per cell
Density of states at the Fermi level ... 10.640 states/eV/cell

```
data_Mn2CrOs
_cell_length_a 2.956
_cell_length_b 4.170
_cell_length_c 8.293
_cell_angle_alpha 90.00
_cell_angle_beta 90.00
_cell_angle_gamma 90.00
_symmetry_space_group_name_H-M 'I m m 2'
_symmetry_Int_Tables_number 44
_symmetry_space_group_name_Hall 'I 2 -2'
loop_
_atom_site_label
_atom_site_type_symbol
_atom_site_fract_x
_atom_site_fract_y
_atom_site_fract_z
Mn1 Mn 0.000 0.000 0.000
Mn2 Mn 0.000 0.500 0.245
Cr1 Cr 0.000 0.000 0.509
Os1 Os 0.000 0.500 0.760
```

***

4.
The following is a DFT calculation (GGA-PBE) of Mn2CrOs after structural relaxation.

Calculated total energy ... -9.73 eV per atom
Magnetization ... 1.95 Bohr magnetons per cell
Density of states at the Fermi level ... 4.251 states/eV/cell

```
data_Mn2CrOs
_cell_length_a 3.696
_cell_length_b 3.696
_cell_length_c 3.617
_cell_angle_alpha 90.00
_cell_angle_beta 90.00
_cell_angle_gamma 90.00
_symmetry_space_group_name_H-M 'P 4/m m m'
_symmetry_Int_Tables_number 123
_symmetry_space_group_name_Hall '-P 4 2'
loop_
_atom_site_label
_atom_site_type_symbol
_atom_site_fract_x
_atom_site_fract_y
_atom_site_fract_z
Mn1 Mn 0.000 0.500 0.000
Cr1 Cr 0.000 0.000 0.500
Os1 Os 0.500 0.500 0.500
```

***

5.
The following is a DFT calculation (GGA-PBE) of MnCr4Os after structural relaxation.

Calculated total energy ... -9.57 eV per atom
Magnetization ... 2.89 Bohr magnetons per cell
Density of states at the Fermi level ... 9.693 states/eV/cell
Polymorph energy (0 for the lowest one) ... 145 meV per atom

```
data_MnCr4Os
_cell_length_a 4.1465
_cell_length_b 4.1465
_cell_length_c 4.9350
_cell_angle_alpha 90.00
_cell_angle_beta 90.00
_cell_angle_gamma 120.00
_symmetry_space_group_name_H-M 'P 6/m m m'
_symmetry_Int_Tables_number 191
_symmetry_space_group_name_Hall '-P 6 2'
loop_
_atom_site_label
_atom_site_type_symbol
_atom_site_fract_x
_atom_site_fract_y
_atom_site_fract_z
Mn1 Mn 0.0000 0.0000 0.0000
Cr1 Cr 0.3333 0.6667 0.2433
Os1 Os 0.0000 0.0000 0.5000
```

***

6.
The following is a DFT calculation (GGA-PBE) of Mn2CrOs after structural relaxation.

Calculated total energy ... -9.70 eV per atom
Magnetization ... 0.21 Bohr magnetons per cell
Density of states at the Fermi level ... 5.034 states/eV/cell

```
data_Mn2CrOs
_cell_length_a 2.625
_cell_length_b 3.611
_cell_length_c 5.215
_cell_angle_alpha 90.00
_cell_angle_beta 90.00
_cell_angle_gamma 90.00
_symmetry_space_group_name_H-M 'P m m 2'
_symmetry_Int_Tables_number 25
_symmetry_space_group_name_Hall 'P 2 -2'
loop_
_atom_site_label
_atom_site_type_symbol
_atom_site_fract_x
_atom_site_fract_y
_atom_site_fract_z
Mn1 Mn 0.000 0.000 0.000
Mn2 Mn 0.500 0.500 0.235
Cr1 Cr 0.500 0.500 0.751
Os1 Os 0.000 0.000 0.499
```

***

7.
The following is a DFT calculation (GGA-PBE) of MnCr2Os after structural relaxation.

Calculated total energy ... -9.79 eV per atom
Magnetization ... 1.54 Bohr magnetons per cell
Density of states at the Fermi level ... 10.888 states/eV/cell

```
data_MnCr2Os
_cell_length_a 3.703
_cell_length_b 3.703
_cell_length_c 7.251
_cell_angle_alpha 90.00
_cell_angle_beta 90.00
_cell_angle_gamma 90.00
_symmetry_space_group_name_H-M 'I 4/m m m'
_symmetry_Int_Tables_number 139
_symmetry_space_group_name_Hall '-I 4 2'
loop_
_atom_site_label
_atom_site_type_symbol
_atom_site_fract_x
_atom_site_fract_y
_atom_site_fract_z
Mn1 Mn 0.000 0.000 0.000
Cr1 Cr 0.000 0.500 0.250
Os1 Os 0.000 0.000 0.500
```

***

8.
The following is a DFT calculation (GGA-PBE) of Mn2CrOs after structural relaxation.

Calculated total energy ... -9.66 eV per atom
Magnetization ... 1.26 Bohr magnetons per cell
Density of states at the Fermi level ... 5.331 states/eV/cell

```
data_Mn2CrOs
_cell_length_a 2.652
_cell_length_b 2.652
_cell_length_c 7.029
_cell_angle_alpha 90.00
_cell_angle_beta 90.00
_cell_angle_gamma 90.00
_symmetry_space_group_name_H-M 'P 4/m m m'
_symmetry_Int_Tables_number 123
_symmetry_space_group_name_Hall '-P 4 2'
loop_
_atom_site_label
_atom_site_type_symbol
_atom_site_fract_x
_atom_site_fract_y
_atom_site_fract_z
Mn1 Mn 0.000 0.000 0.241
Cr1 Cr 0.500 0.500 0.000
Os1 Os 0.500 0.500 0.500
```

***

9.
The following is a DFT calculation (GGA-PBE) of Mn2CrOs after structural relaxation.

Calculated total energy ... -9.07 eV per atom
Magnetization ... 16.46 Bohr magnetons per cell
Density of states at the Fermi level ... 19.997 states/eV/cell

```
data_Mn2CrOs
_cell_length_a 3.475
_cell_length_b 3.475
_cell_length_c 17.715
_cell_angle_alpha 90.00
_cell_angle_beta 90.00
_cell_angle_gamma 90.00
_symmetry_space_group_name_H-M 'I -4 2 d'
_symmetry_Int_Tables_number 122
_symmetry_space_group_name_Hall 'I -4 2bw'
loop_
_atom_site_label
_atom_site_type_symbol
_atom_site_fract_x
_atom_site_fract_y
_atom_site_fract_z
Mn1 Mn 0.234 0.250 0.125
Cr1 Cr 0.000 0.000 0.000
Os1 Os 0.000 0.000 0.500
```

***

10.
The following is a DFT calculation (GGA-PBE) of MnCrOs after structural relaxation.

Calculated total energy ... -9.85 eV per atom
Magnetization ... 0.01 Bohr magnetons per cell
Density of states at the Fermi level ... 8.409 states/eV/cell
Polymorph energy (0 for the lowest one) ... 89 meV per atom

```
data_MnCrOs
_cell_length_a 2.628
_cell_length_b 2.628
_cell_length_c 10.840
_cell_angle_alpha 90.00
_cell_angle_beta 90.00
_cell_angle_gamma 90.00
_symmetry_space_group_name_H-M 'I 4 m m'
_symmetry_Int_Tables_number 107
_symmetry_space_group_name_Hall 'I 4 -2'
loop_
_atom_site_label
_atom_site_type_symbol
_atom_site_fract_x
_atom_site_fract_y
_atom_site_fract_z
Mn1 Mn 0.000 0.000 0.000
Cr1 Cr 0.000 0.000 0.341
Os1 Os 0.000 0.000 0.662
```

***

11.
The following is a DFT calculation (GGA-PBE) of MnCr2Os after structural relaxation.

Calculated total energy ... -9.67 eV per atom
Magnetization ... 1.19 Bohr magnetons per cell
Density of states at the Fermi level ... 17.301 states/eV/cell

```
data_MnCr2Os
_cell_length_a 2.6423
_cell_length_b 2.6423
_cell_length_c 24.7782
_cell_angle_alpha 90.00
_cell_angle_beta 90.00
_cell_angle_gamma 120.00
_symmetry_space_group_name_H-M 'R 3 m'
_symmetry_Int_Tables_number 160
_symmetry_space_group_name_Hall 'R 3 -2"'
loop_
_atom_site_label
_atom_site_type_symbol
_atom_site_fract_x
_atom_site_fract_y
_atom_site_fract_z
Mn1 Mn 0.0000 0.0000 0.0000
Cr1 Cr 0.0000 0.0000 0.2568
Cr2 Cr 0.0000 0.0000 0.5079
Os1 Os 0.0000 0.0000 0.7557
```

***

12.
The following is a DFT calculation (GGA-PBE) of MnCr2Os after structural relaxation.

Calculated total energy ... -9.69 eV per atom
Magnetization ... 0.00 Bohr magnetons per cell
Density of states at the Fermi level ... 15.960 states/eV/cell

```
data_MnCr2Os
_cell_length_a 2.6260
_cell_length_b 2.6260
_cell_length_c 24.8961
_cell_angle_alpha 90.00
_cell_angle_beta 90.00
_cell_angle_gamma 120.00
_symmetry_space_group_name_H-M 'R -3 m'
_symmetry_Int_Tables_number 166
_symmetry_space_group_name_Hall '-R 3 2"'
loop_
_atom_site_label
_atom_site_type_symbol
_atom_site_fract_x
_atom_site_fract_y
_atom_site_fract_z
Mn1 Mn 0.0000 0.0000 0.0000
Cr1 Cr 0.0000 0.0000 0.2542
Os1 Os 0.0000 0.0000 0.5000
```

***

What did the first record say?
The following is a DFT calculation (GGA-PBE) of MnCr2Os after structural relaxation.

Calculated total energy ... -9.78 eV per atom
Magnetization ... 1.34 Bohr magnetons per cell
Density of states at the Fermi level ... 11.423 states/eV/cell

```
data_MnCr2Os
_cell_length_a 3.660
_cell_length_b 3.660
_cell_length_c 7.416
_cell_angle_alpha 90.00
_cell_angle_beta 90.00
_cell_angle_gamma 90.00
_symmetry_space_group_name_H-M 'I -4 m 2'
_symmetry_Int_Tables_number 119
_symmetry_space_group_name_Hall 'I -4 -2'
loop_
_atom_site_label
_atom_site_type_symbol
_atom_site_fract_x
_atom_site_fract_y
_atom_site_fract_z
Mn1 Mn 0.000 0.000 0.000
Cr1 Cr 0.000 0.000 0.500
Cr2 Cr 0.000 0.500 0.250
Os1 Os 0.000 0.500 0.750
```

***

Please write out number 8 again, unchanged.
The following is a DFT calculation (GGA-PBE) of Mn2CrOs after structural relaxation.

Calculated total energy ... -9.66 eV per atom
Magnetization ... 1.26 Bohr magnetons per cell
Density of states at the Fermi level ... 5.331 states/eV/cell

```
data_Mn2CrOs
_cell_length_a 2.652
_cell_length_b 2.652
_cell_length_c 7.029
_cell_angle_alpha 90.00
_cell_angle_beta 90.00
_cell_angle_gamma 90.00
_symmetry_space_group_name_H-M 'P 4/m m m'
_symmetry_Int_Tables_number 123
_symmetry_space_group_name_Hall '-P 4 2'
loop_
_atom_site_label
_atom_site_type_symbol
_atom_site_fract_x
_atom_site_fract_y
_atom_site_fract_z
Mn1 Mn 0.000 0.000 0.241
Cr1 Cr 0.500 0.500 0.000
Os1 Os 0.500 0.500 0.500
```

***

Question: What is the calculated total energy in the third record?
Answer: -9.68 eV per atom

***

Question: density of states at the Fermi level of number 8 (Mn2CrOs)?
Answer: 5.331 states/eV/cell